Entry 1:
Compound: Tl6Cd
Source: the Alexandria database
Functional: PBE
Structure: optimized geometry

For the energy relative to the lowest polymorph listed for this composition, the calculation gives 54 meV/atom. As for the energy of formation from the pure elements: 0.077 eV/atom.

The structure belongs to space group P4/mmm (No. 123); the cell edges are 4.825, 4.825 and 9.532 Å and the angles 90.00°, 90.00° and 90.00°. The inequivalent atoms are Tl at (0.000, 0.000, 0.000), Tl at (0.000, 0.500, 0.246), Tl at (0.500, 0.500, 0.500) and Cd at (0.000, 0.000, 0.500).

Entry 2:
Compound: Tl5Cd3
Source: the Alexandria database
Functional: PBE
Structure: optimized geometry

For the energy relative to the lowest polymorph listed for this composition, the calculation gives 14 meV/atom. As for the energy of formation from the pure elements: 0.058 eV/atom.

The structure belongs to space group Cmcm (No. 63); the cell edges are 16.037, 9.250 and 6.243 Å and the angles 90.00°, 90.00° and 90.00°. The inequivalent atoms are Tl at (0.000, 0.229, 0.250), Tl at (0.115, 0.115, 0.750), Tl at (0.167, 0.500, 0.000), Cd at (0.000, 0.405, 0.750) and Cd at (0.203, 0.203, 0.250).

Entry 3:
Compound: TlCd
Source: the Alexandria database
Functional: PBE
Structure: optimized geometry

As for the energy of formation from the pure elements: 0.063 eV/atom.

The structure belongs to space group I4_1/amd (No. 141, origin choice 2); the cell edges are 4.767, 4.767 and 9.636 Å and the angles 90.00°, 90.00° and 90.00°. The inequivalent atoms are Tl at (0.000, 0.250, 0.375) and Cd at (0.000, 0.250, 0.875).

Entry 4:
Compound: Tl4Cd
Source: the Alexandria database
Functional: PBE
Structure: optimized geometry

For the energy relative to the lowest polymorph listed for this composition, the calculation gives 246 meV/atom. As for the energy of formation from the pure elements: 0.267 eV/atom.

The structure belongs to space group Pm-3m (No. 221); the cell edges are 5.688, 5.688 and 5.688 Å and the angles 90.00°, 90.00° and 90.00°. The inequivalent atoms are Tl at (0.000, 0.000, 0.000), Tl at (0.000, 0.500, 0.500) and Cd at (0.500, 0.500, 0.500).

Entry 5:
Compound: TlCd
Source: the Alexandria database
Functional: PBE
Structure: optimized geometry

As for the energy of formation from the pure elements: 0.066 eV/atom.

The structure belongs to space group P2_13 (No. 198); the cell edges are 6.076, 6.076 and 6.076 Å and the angles 90.00°, 90.00° and 90.00°. The inequivalent atoms are Tl at (0.095, 0.095, 0.095) and Cd at (0.094, 0.594, 0.906).

Entry 6:
Compound: TlCd
Source: the Alexandria database
Functional: PBE
Structure: optimized geometry

As for the energy of formation from the pure elements: 0.115 eV/atom.

The structure belongs to space group P4_2/mnm (No. 136); the cell edges are 6.190, 6.190 and 6.229 Å and the angles 90.00°, 90.00° and 90.00°. The inequivalent atoms are Tl at (0.196, 0.196, 0.000) and Cd at (0.190, 0.190, 0.500).

Number 1: DFT total energy -2.0815 eV/atom. Number 2: DFT total energy -1.7637 eV/atom. Number 3: DFT total energy -1.5781 eV/atom. Number 4: DFT total energy -1.8087 eV/atom. Number 5: DFT total energy -1.5751 eV/atom. Number 6: DFT total energy -1.5260 eV/atom.